Record 1
{"formula": "NaLi2NiCl6", "functional": "PBE", "state": "relaxed", "raw_formation_energy_ev_per_atom": -1.2212, "lattice": [[-3.304, 4.518, -3.503], [-3.255, -1.570, -5.177], [-7.178, 0.161, 0.105]], "species": ["Li", "Li", "Cl", "Cl", "Cl", "Cl", "Cl", "Cl", "Na", "Ni"], "fractional_positions": [[0.520, 0.505, 0.432], [0.987, 0.026, 0.981], [0.140, 0.390, 0.759], [0.702, 0.136, 0.783], [0.375, 0.715, 0.779], [0.962, 0.556, 0.233], [0.255, 0.954, 0.233], [0.584, 0.234, 0.242], [0.810, 0.813, 0.562], [0.326, 0.332, 0.012]]}

=====

Record 2
{"formula": "YFeTe2", "functional": "PBE", "state": "relaxed", "dos_ef_per_ev_fu": 2.96, "raw_formation_energy_ev_per_atom": -0.2917, "lattice": [[-2.472, 0.677, -2.652], [0.641, -3.330, -1.450], [-5.157, -2.776, 4.098]], "species": ["Te", "Te", "Fe", "Y"], "fractional_positions": [[0.000, 0.000, 0.510], [0.000, 0.000, 0.990], [0.500, 0.500, 0.750], [0.500, 0.500, 0.250]]}